# VNi2Pt3

A relaxed structure of VNi2Pt3 (PBE, the Alexandria database).

Output
Formation enthalpy at 0 K (eV per atom): -0.211
E above lowest polymorph (meV per atom): 0.0
Size of the total moment (μB per formula unit): 0.01
Density of states at the Fermi level (states/eV/cell): 14.9

Cell lengths 7.0556, 7.0556, 4.7198 Å; angles 90.00, 90.00, 134.49 degrees
Sites, in units of the cell vectors:
V 0.1433 0.8567 0.7500
V 0.8567 0.1433 0.2500
Ni 0.2268 0.2268 0.0000
Ni 0.2268 0.2268 0.5000
Ni 0.7732 0.7732 0.0000
Ni 0.7732 0.7732 0.5000
Pt 0.0667 0.4250 0.7500
Pt 0.3651 0.6349 0.2500
Pt 0.4250 0.0667 0.2500
Pt 0.5750 0.9333 0.7500
Pt 0.6349 0.3651 0.7500
Pt 0.9333 0.5750 0.2500